VASP calculation (PBE) on a relaxed LaZr2Fe crystal.

**Energy of formation**: 21.96 kJ per mole of atoms
**Total magnetization**: 0.001 μB per formula unit
**Fermi-level density of states**: 1.32 states/eV/atom
**Symmetry**: No. 6
**E above lowest polymorph**: 183 meV/atom

a = 4.2153 Å, b = 3.3285 Å, c = 7.0234 Å
α = 69.80°, β = 90.00°, γ = 90.00°
With the nearest neighbours (Å) after each atom.
Fractional positions:
Zr: 0.5000 0.2790 0.2886  2 Fe 2.61
Zr: 0.0000 0.9650 0.0663  1 Fe 2.44
Fe: 0.0000 0.5486 0.4287  3 Zr 2.44-2.61
La: 0.5000 0.7074 0.7164  1 Zr 2.95, 2 Fe 3.09